No. 1
Li3Ho3TiSe8: optimized geometry, PBE-GGA.

Space-group type: R-3m, No. 166
Raw formation energy (eV/atom): -1.553
M_tot (μB/atom): 0.00

a b c (Å): 7.964 7.963 7.952
angles (deg): 120.07 90.00 120.00
Fractional coordinates of all 15 atoms:
Li  0.000  0.000  0.000
Li  0.000  0.500  0.000
Li  0.500  0.500  0.000
Ho  0.500  0.000  0.500
Ho  0.500  0.500  0.500
Ho  0.000  0.500  0.500
Ti  0.000  0.000  0.500
Se  0.248  0.496  0.244
Se  0.752  0.504  0.756
Se  0.766  0.533  0.262
Se  0.234  0.467  0.738
Se  0.766  0.995  0.262
Se  0.234  0.005  0.738
Se  0.229  0.995  0.262
Se  0.771  0.005  0.738

No. 2
Li2HoTiSe4: optimized geometry, PBE-GGA.

Space-group type: P2/m, No. 10
Raw formation energy (eV/atom): -1.409
D(E_F) (states/eV/cell): 3.589
M_tot (μB/atom): 0.13

a b c (Å): 3.869 6.731 6.846
angles (deg): 109.08 90.00 90.00
Fractional coordinates of all 8 atoms:
Li  0.500  0.000  0.500
Li  0.000  0.500  0.500
Ho  0.000  0.000  0.000
Ti  0.500  0.500  0.000
Se  0.500  0.267  0.251
Se  0.500  0.733  0.749
Se  0.000  0.270  0.760
Se  0.000  0.730  0.240

No. 3
Li3Ho2TiSe6: optimized geometry, PBE-GGA.

Space-group type: C2/m, No. 12
Raw formation energy (eV/atom): -1.499
D(E_F) (states/eV/cell): 5.718
M_tot (μB/atom): 0.08

a b c (Å): 6.827 6.827 6.854
angles (deg): 99.57 99.57 119.95
Fractional coordinates of all 12 atoms:
Li  0.166  0.834  0.500
Li  0.834  0.166  0.500
Li  0.500  0.500  0.500
Ho  0.332  0.668  0.000
Ho  0.668  0.332  0.000
Ti  0.000  0.000  0.000
Se  0.916  0.601  0.751
Se  0.768  0.768  0.244
Se  0.084  0.399  0.249
Se  0.601  0.916  0.751
Se  0.232  0.232  0.756
Se  0.399  0.084  0.249

No. 4
LiHoTm4Se8: optimized geometry, PBE-GGA.

Space-group type: R3m, No. 160
Raw formation energy (eV/atom): -1.772
D(E_F) (states/eV/cell): 0.000
M_tot (μB/atom): 0.00

a b c (Å): 8.264 8.264 8.283
angles (deg): 60.07 60.07 60.00
Fractional coordinates of all 14 atoms:
Li  0.375  0.375  0.875
Ho  0.005  0.005  0.984
Tm  0.625  0.625  0.124
Tm  0.005  0.484  0.505
Tm  0.484  0.005  0.505
Tm  0.005  0.005  0.505
Se  0.246  0.766  0.743
Se  0.766  0.246  0.743
Se  0.246  0.246  0.743
Se  0.244  0.244  0.267
Se  0.757  0.225  0.261
Se  0.225  0.757  0.261
Se  0.757  0.757  0.261
Se  0.759  0.759  0.724

No. 5
Li2Ho3TmSe6: optimized geometry, PBE-GGA.

Space-group type: C2/m, No. 12
Raw formation energy (eV/atom): -1.717
D(E_F) (states/eV/cell): 2.611
M_tot (μB/atom): 0.00

a b c (Å): 6.942 6.942 6.960
angles (deg): 99.57 99.57 119.99
Fractional coordinates of all 12 atoms:
Li  0.332  0.668  0.000
Li  0.668  0.332  0.000
Ho  0.167  0.833  0.500
Ho  0.833  0.167  0.500
Ho  0.500  0.500  0.500
Tm  0.000  0.000  0.000
Se  0.920  0.582  0.759
Se  0.744  0.744  0.242
Se  0.080  0.418  0.241
Se  0.582  0.920  0.759
Se  0.256  0.256  0.758
Se  0.418  0.080  0.241

No. 6
Li3Ho2TmSe6: optimized geometry, PBE-GGA.

Space-group type: C2/m, No. 12
Raw formation energy (eV/atom): -1.697
D(E_F) (states/eV/cell): 0.000
M_tot (μB/atom): 0.00

a b c (Å): 7.001 7.001 6.897
angles (deg): 99.74 99.74 120.00
Fractional coordinates of all 12 atoms:
Li  0.167  0.833  0.500
Li  0.833  0.167  0.500
Li  0.500  0.500  0.500
Ho  0.333  0.667  0.000
Ho  0.667  0.333  0.000
Tm  0.000  0.000  0.000
Se  0.916  0.585  0.748
Se  0.753  0.753  0.251
Se  0.084  0.415  0.252
Se  0.585  0.916  0.748
Se  0.247  0.247  0.749
Se  0.415  0.084  0.252

No. 7
Li3HoTm2Se6: optimized geometry, PBE-GGA.

Space-group type: C2/m, No. 12
Raw formation energy (eV/atom): -1.696
D(E_F) (states/eV/cell): 0.000
M_tot (μB/atom): 0.00

a b c (Å): 6.982 6.982 6.892
angles (deg): 99.72 99.72 120.00
Fractional coordinates of all 12 atoms:
Li  0.167  0.833  0.500
Li  0.833  0.167  0.500
Li  0.500  0.500  0.500
Ho  0.000  0.000  0.000
Tm  0.333  0.667  0.000
Tm  0.667  0.333  0.000
Se  0.916  0.581  0.749
Se  0.748  0.748  0.251
Se  0.084  0.419  0.251
Se  0.581  0.916  0.749
Se  0.252  0.252  0.749
Se  0.419  0.084  0.251

No. 8
Li4Ho3TmSe8: optimized geometry, PBE-GGA.

Space-group type: R-3m, No. 166
Raw formation energy (eV/atom): -1.697
D(E_F) (states/eV/cell): 0.000
M_tot (μB/atom): 0.00

a b c (Å): 8.090 8.001 8.089
angles (deg): 120.40 120.00 90.00
Fractional coordinates of all 16 atoms:
Li  0.500  0.000  0.000
Li  0.500  0.000  0.500
Li  0.000  0.000  0.000
Li  0.000  0.000  0.500
Ho  0.500  0.500  0.000
Ho  0.500  0.500  0.500
Ho  0.000  0.500  0.500
Tm  0.000  0.500  0.000
Se  0.250  0.752  0.002
Se  0.250  0.752  0.499
Se  0.249  0.248  0.498
Se  0.753  0.752  0.002
Se  0.247  0.248  0.998
Se  0.751  0.752  0.502
Se  0.750  0.248  0.501
Se  0.750  0.248  0.998